# PBE-GGA LaEr2Tm6, optimized geometry
# DFT formation energy = 0.0575 eV per atom
# V = 31.5 A^3/atom
# Relative energy among the computed polymorphs = 25.4 meV/atom
# ρ = 8.7 g cm⁻³
# Total energy = -0.3296 Ry/atom
data_LaEr2Tm6
_cell_length_a 3.5538
_cell_length_b 3.5538
_cell_length_c 25.9029
_cell_angle_alpha 90.00
_cell_angle_beta 90.00
_cell_angle_gamma 120.00
_symmetry_space_group_name_H-M 'P -6 m 2'
_symmetry_Int_Tables_number 187
_symmetry_space_group_name_Hall 'P -6 2'
loop_
_atom_site_label
_atom_site_type_symbol
_atom_site_fract_x
_atom_site_fract_y
_atom_site_fract_z
La1 La 0.0000 0.0000 0.0000
Er1 Er 0.3333 0.6667 0.3297
Tm1 Tm 0.0000 0.0000 0.2217
Tm2 Tm 0.0000 0.0000 0.4357
Tm3 Tm 0.3333 0.6667 0.1155